1.
Entry from Alexandria via LeMat-Bulk: a geometry-optimized Mg2Sc2I structure (PBE).

abc: 7.509 7.509 4.715
angles: 90.00 90.00 90.00
Space group P4/mbm (No. 127)
Inequivalent atoms, fractional coordinates:
Mg  0.140  0.360  0.000 (multiplicity 4)
Sc  0.150  0.650  0.500 (multiplicity 4)
I  0.000  0.000  0.500 (multiplicity 2)

Formation energy without anion corrections = -8 kJ per mole of atoms

***

2.
Entry from Alexandria via LeMat-Bulk: a geometry-optimized Cr2SiMo structure (PBE).

abc: 3.067 3.067 5.529
angles: 90.00 90.00 90.00
Space group P4/mmm (No. 123)
Inequivalent atoms, fractional coordinates:
Cr  0.000  0.000  0.239 (multiplicity 2)
Si  0.500  0.500  0.000 (multiplicity 1)
Mo  0.500  0.500  0.500 (multiplicity 1)

Formation energy without anion corrections = -9 kJ per mole of atoms

***

3.
Entry from Alexandria via LeMat-Bulk: a geometry-optimized SrAl3Bi structure (PBE).

abc: 5.751 5.751 5.751
angles: 90.00 90.00 90.00
Space group Pm-3m (No. 221)
Inequivalent atoms, fractional coordinates:
Sr  0.000  0.000  0.000 (multiplicity 1)
Al  0.000  0.000  0.500 (multiplicity 3)
Bi  0.500  0.500  0.500 (multiplicity 1)

Formation energy from the elements = 1230.3 meV per atom
E above lowest polymorph = 640 meV per atom

***

4.
Entry from Alexandria via LeMat-Bulk: a geometry-optimized La3PrNd3Zn2 structure (PBE).

abc: 9.2870 9.2870 3.7619
angles: 90.00 90.00 120.00
Space group P-62m (No. 189)
Inequivalent atoms, fractional coordinates:
La  0.0000  0.6923  0.0000 (multiplicity 3)
Pr  0.0000  0.0000  0.5000 (multiplicity 1)
Nd  0.0000  0.3861  0.5000 (multiplicity 3)
Zn  0.3333  0.6667  0.0000 (multiplicity 2)

Formation energy from the elements = -24.0 meV per atom

***

5.
Entry from Alexandria via LeMat-Bulk: a geometry-optimized Na3GeBr6 structure (PBE).

abc: 7.154 7.647 12.797
angles: 90.00 123.62 90.00
Space group P2_1/c (No. 14)
Inequivalent atoms, fractional coordinates:
Na  0.000  0.000  0.000 (multiplicity 2)
Na  0.206  0.090  0.743 (multiplicity 4)
Ge  0.500  0.000  0.500 (multiplicity 2)
Br  0.133  0.180  0.434 (multiplicity 4)
Br  0.255  0.706  0.423 (multiplicity 4)
Br  0.410  0.055  0.269 (multiplicity 4)

Formation energy without anion corrections = -103 kJ per mole of atoms

***

6.
Entry from Alexandria via LeMat-Bulk: a geometry-optimized HgBRuN structure (PBE).

abc: 8.140 2.954 5.841
angles: 90.00 97.60 90.00
Space group Cm (No. 8)
Inequivalent atoms, fractional coordinates:
Hg  0.000  0.000  0.000 (multiplicity 2)
B  0.432  0.500  0.609 (multiplicity 2)
Ru  0.051  0.500  0.424 (multiplicity 2)
N  0.268  0.500  0.515 (multiplicity 2)

E above lowest polymorph = 437 meV per atom
Formation energy without anion corrections = 42 kJ per mole of atoms

***

7.
Entry from Alexandria via LeMat-Bulk: a geometry-optimized Nd3Y2Ho6Tm structure (PBE).

abc: 6.190 10.713 11.805
angles: 90.00 100.02 90.00
Space group C2/m (No. 12)
Inequivalent atoms, fractional coordinates:
Nd  0.000  0.000  0.000 (multiplicity 2)
Nd  0.000  0.334  0.000 (multiplicity 4)
Y  0.000  0.167  0.500 (multiplicity 4)
Ho  0.248  0.334  0.747 (multiplicity 8)
Ho  0.250  0.000  0.747 (multiplicity 4)
Tm  0.000  0.500  0.500 (multiplicity 2)

Formation energy from the elements = 21.2 meV per atom

***

8.
Entry from Alexandria via LeMat-Bulk: a geometry-optimized La2Tc2Pt structure (PBE).

abc: 7.022 7.022 4.517
angles: 90.00 90.00 90.00
Space group P4/mbm (No. 127)
Inequivalent atoms, fractional coordinates:
La  0.189  0.311  0.000 (multiplicity 4)
Tc  0.116  0.616  0.500 (multiplicity 4)
Pt  0.000  0.000  0.500 (multiplicity 2)

Formation energy from the elements = -171.9 meV per atom

***

9.
Entry from Alexandria via LeMat-Bulk: a geometry-optimized GaMoCl2 structure (PBE).

abc: 6.357 6.357 10.739
angles: 90.00 90.00 90.00
Space group I-42d (No. 122)
Inequivalent atoms, fractional coordinates:
Ga  0.000  0.000  0.000 (multiplicity 4)
Mo  0.000  0.000  0.500 (multiplicity 4)
Cl  0.168  0.250  0.625 (multiplicity 8)

E above lowest polymorph = 542 meV per atom
Formation energy without anion corrections = 35 kJ per mole of atoms

***

10.
Entry from Alexandria via LeMat-Bulk: a geometry-optimized LaInBr2 structure (PBE).

abc: 4.931 4.931 9.382
angles: 90.00 90.00 90.00
Space group I4/mmm (No. 139)
Inequivalent atoms, fractional coordinates:
La  0.000  0.000  0.000 (multiplicity 2)
In  0.000  0.000  0.500 (multiplicity 2)
Br  0.000  0.500  0.250 (multiplicity 4)

E above lowest polymorph = 160 meV per atom
Formation energy without anion corrections = -93 kJ per mole of atoms

***

11.
Entry from Alexandria via LeMat-Bulk: a geometry-optimized NdGa2PtRh structure (PBE).

abc: 4.227 4.227 10.537
angles: 90.00 90.00 90.00
Space group I-4m2 (No. 119)
Inequivalent atoms, fractional coordinates:
Nd  0.000  0.000  0.000 (multiplicity 2)
Ga  0.000  0.000  0.378 (multiplicity 4)
Pt  0.000  0.500  0.750 (multiplicity 2)
Rh  0.000  0.500  0.250 (multiplicity 2)

Formation energy from the elements = -871.7 meV per atom

***

12.
Entry from Alexandria via LeMat-Bulk: a geometry-optimized Zn2MoAs structure (PBE).

abc: 5.038 9.024 2.903
angles: 90.00 105.99 90.00
Space group C2/m (No. 12)
Inequivalent atoms, fractional coordinates:
Zn  0.250  0.250  0.000 (multiplicity 4)
Mo  0.000  0.000  0.500 (multiplicity 2)
As  0.000  0.500  0.500 (multiplicity 2)

Formation energy from the elements = 196.2 meV per atom

***

Respective DFT total energy values: -35.67 -35.88 -10.64 -36.63 -58.61 -45.68 -117.83 -74.97 -64.40 -29.71 -57.15 -34.49 eV for the cell shown.